1.
Density functional theory data (PBE) for a geometry-optimized LiMgZr2 structure.

D(E_F) = 5.0 states/eV/f.u.
VASP energy = -39.5 eV for the cell shown
Formation energy = 208 meV per atom

a = 4.210 Å, b = 4.210 Å, c = 9.503 Å
α = 90.00°, β = 90.00°, γ = 90.00°
Space group I4/mmm (No. 139)
Unique sites:
Li (0.000, 0.000, 0.000)
Mg (0.000, 0.000, 0.500)
Zr (0.000, 0.500, 0.250)


2.
Density functional theory data (PBE) for a geometry-optimized La2Pr3DyTm6 structure.

D(E_F) = 13.0 states/eV/f.u.
VASP energy = -110.8 eV for the cell shown
Formation energy = 19 meV per atom

a = 6.242 Å, b = 10.807 Å, c = 11.774 Å
α = 90.00°, β = 100.17°, γ = 90.00°
Space group C2/m (No. 12)
Unique sites:
La (0.000, 0.166, 0.000)
Pr (0.000, 0.000, 0.500)
Pr (0.000, 0.333, 0.500)
Dy (0.000, 0.500, 0.000)
Tm (0.249, 0.500, 0.750)
Tm (0.250, 0.166, 0.750)


3.
Density functional theory data (PBE) for a geometry-optimized CaZn2N2 structure.

D(E_F) = 0.3 states/eV/f.u.
VASP energy = -67.1 eV for the cell shown
Uncorrected formation energy = -0.234 eV/atom

a = 3.3778 Å, b = 3.3778 Å, c = 20.5496 Å
α = 90.00°, β = 90.00°, γ = 120.00°
Space group R-3m (No. 166, hexagonal axes)
Unique sites:
Ca (0.0000, 0.0000, 0.0000)
Zn (0.0000, 0.0000, 0.2255)
N (0.0000, 0.0000, 0.4109)


4.
Density functional theory data (PBE) for a geometry-optimized Li2MgTa structure.

D(E_F) = 4.0 states/eV/f.u.
VASP energy = -49.4 eV for the cell shown
Formation energy = 205 meV per atom

a = 2.9108 Å, b = 2.9108 Å, c = 30.8491 Å
α = 90.00°, β = 90.00°, γ = 120.00°
Space group R3m (No. 160, hexagonal axes)
Unique sites:
Li (0.0000, 0.0000, 0.0000)
Li (0.0000, 0.0000, 0.2489)
Mg (0.0000, 0.0000, 0.7492)
Ta (0.0000, 0.0000, 0.4998)


5.
Density functional theory data (PBE) for a geometry-optimized Li2HPd4Pb2 structure.

D(E_F) = 4.9 states/eV/f.u.
VASP energy = -77.2 eV for the cell shown

a = 5.807 Å, b = 5.807 Å, c = 8.154 Å
α = 90.00°, β = 90.00°, γ = 90.00°
Space group I4/mmm (No. 139)
Unique sites:
Li (0.000, 0.000, 0.239)
H (0.000, 0.000, 0.500)
Pd (0.248, 0.248, 0.500)
Pb (0.000, 0.500, 0.250)


6.
Density functional theory data (PBE) for a geometry-optimized Pr6Ir2PtI2 structure.

D(E_F) = 6.5 states/eV/f.u.
VASP energy = -129.9 eV for the cell shown
Uncorrected formation energy = -0.853 eV/atom

a = 7.399 Å, b = 12.786 Å, c = 8.428 Å
α = 90.00°, β = 106.97°, γ = 90.00°
Space group C2/m (No. 12)
Unique sites:
Pr (0.219, 0.000, 0.183)
Pr (0.235, 0.331, 0.188)
Ir (0.000, 0.169, 0.000)
Pt (0.000, 0.500, 0.000)
I (0.000, 0.335, 0.500)


7.
Density functional theory data (PBE) for a geometry-optimized SrY2Ru structure.

D(E_F) = 3.9 states/eV/f.u.
VASP energy = -23.6 eV for the cell shown
Formation energy = 68 meV per atom
Distance to the lowest polymorph of the same formula = 225 meV/atom

a = 3.837 Å, b = 3.883 Å, c = 8.387 Å
α = 90.00°, β = 90.00°, γ = 90.00°
Space group Pmm2 (No. 25)
Unique sites:
Sr (0.000, 0.000, 0.000)
Y (0.000, 0.000, 0.603)
Y (0.500, 0.500, 0.354)
Ru (0.500, 0.500, 0.691)


8.
Density functional theory data (PBE) for a geometry-optimized CeTlInF6 structure.

VASP energy = -96.4 eV for the cell shown
Uncorrected formation energy = -2.880 eV/atom

a = 5.749 Å, b = 5.749 Å, c = 12.603 Å
α = 90.00°, β = 90.00°, γ = 90.00°
Space group P4_2nm (No. 102)
Unique sites:
Ce (0.000, 0.000, 0.000)
Tl (0.000, 0.000, 0.670)
In (0.000, 0.000, 0.347)
F (0.179, 0.179, 0.127)
F (0.184, 0.184, 0.873)
F (0.227, 0.227, 0.494)


9.
Density functional theory data (PBE) for a geometry-optimized Er3TeBr2O6 structure.

D(E_F) = 1.3 states/eV/f.u.
VASP energy = -150.9 eV for the cell shown
Uncorrected formation energy = -2.129 eV/atom

a = 11.708 Å, b = 6.611 Å, c = 5.711 Å
α = 90.00°, β = 102.19°, γ = 90.00°
Space group C2/m (No. 12)
Unique sites:
Er (0.000, 0.000, 0.000)
Er (0.250, 0.250, 0.500)
Te (0.000, 0.500, 0.500)
Br (0.212, 0.000, 0.861)
O (0.060, 0.252, 0.297)
O (0.173, 0.500, 0.659)


10.
Density functional theory data (PBE) for a geometry-optimized NaSc2Ag2 structure.

D(E_F) = 4.5 states/eV/f.u.
VASP energy = -40.0 eV for the cell shown
Formation energy = -64 meV per atom
Distance to the lowest polymorph of the same formula = 0 meV/atom

a = 8.181 Å, b = 8.181 Å, c = 3.346 Å
α = 90.00°, β = 90.00°, γ = 90.00°
Space group P4/mbm (No. 127)
Unique sites:
Na (0.000, 0.000, 0.000)
Sc (0.154, 0.346, 0.500)
Ag (0.136, 0.636, 0.000)


11.
Density functional theory data (PBE) for a geometry-optimized Tb6CeY4 structure.

D(E_F) = 24.0 states/eV/f.u.
VASP energy = -231.8 eV for the cell shown
Formation energy = 148 meV per atom

a = 5.745 Å, b = 9.635 Å, c = 25.787 Å
α = 90.00°, β = 90.00°, γ = 90.00°
Space group Cmcm (No. 63)
Unique sites:
Tb (0.000, 0.000, 0.000)
Tb (0.000, 0.029, 0.250)
Tb (0.000, 0.305, 0.603)
Tb (0.000, 0.365, 0.182)
Ce (0.000, 0.305, 0.750)
Y (0.000, 0.035, 0.122)
Y (0.000, 0.345, 0.042)


12.
Density functional theory data (PBE) for a geometry-optimized AcNd3Tm4 structure.

D(E_F) = 13.5 states/eV/f.u.
VASP energy = -69.9 eV for the cell shown
Formation energy = 168 meV per atom

a = 3.472 Å, b = 11.779 Å, c = 13.299 Å
α = 90.00°, β = 90.00°, γ = 90.00°
Space group Immm (No. 71)
Unique sites:
Ac (0.000, 0.000, 0.000)
Nd (0.000, 0.000, 0.500)
Nd (0.000, 0.500, 0.256)
Tm (0.000, 0.253, 0.137)